{
  "formula": "Mn2ReMo",
  "functional": "PBEsol",
  "state": "optimized geometry",
  "cell": [[3.0133, 0.0000, 0.0000], [0.0000, 3.0133, 0.0000], [0.0000, 0.0000, 5.7329]],
  "species": ["Re", "Mo", "Mn", "Mn"],
  "frac_coords": [[0.5000, 0.5000, 0.7690], [0.0000, 0.0000, 0.4806], [0.5000, 0.5000, 0.2435], [0.0000, 0.0000, 0.0069]],
  "dos_at_fermi_per_ev_cell": 3.571,
  "total_magnetization_mub_per_fu": 3.0
}

---

{
  "formula": "MnReMo2",
  "functional": "PBEsol",
  "state": "optimized geometry",
  "cell": [[-0.9402, -2.3270, -0.9831], [0.9892, -2.3406, 0.8991], [-6.2624, -1.7375, 6.4068]],
  "species": ["Mo", "Mn", "Re", "Mo"],
  "frac_coords": [[0.7516, 0.7516, 0.7453], [0.2480, 0.2480, 0.2560], [0.5069, 0.5069, 0.4793], [0.9936, 0.9936, 0.0194]],
  "dos_at_fermi_per_ev_cell": 3.953,
  "total_magnetization_mub_per_fu": 0.0,
  "relative_energy_kj_per_mol_atoms": 16.9
}

---

{
  "formula": "Mn2ReMo",
  "functional": "PBEsol",
  "state": "optimized geometry",
  "cell": [[-2.3176, 0.9221, -0.7536], [0.7331, -1.8049, -1.7304], [-3.6785, -5.6785, 4.3643]],
  "species": ["Mn", "Mn", "Re", "Mo"],
  "frac_coords": [[0.5000, 0.5000, 0.7643], [0.0000, 0.0000, 0.9870], [0.5000, 0.5000, 0.2339], [0.0000, 0.0000, 0.5148]],
  "dos_at_fermi_per_ev_cell": 4.525,
  "total_magnetization_mub_per_fu": 2.6
}

---

{
  "formula": "MnReMo2",
  "functional": "PBEsol",
  "state": "optimized geometry",
  "cell": [[-0.8573, 0.3739, 2.9454], [-3.7590, -1.9089, -0.8518], [1.7163, -3.8190, 0.9844]],
  "species": ["Mo", "Mo", "Re", "Mn"],
  "frac_coords": [[0.0000, 0.0000, 0.5000], [0.0000, 0.5000, 0.0000], [0.5000, 0.5000, 0.5000], [0.5000, 0.0000, 0.0000]],
  "dos_at_fermi_per_ev_cell": 4.452,
  "total_magnetization_mub_per_fu": 1.9,
  "relative_energy_kj_per_mol_atoms": 1.2
}

---

{
  "formula": "Mn2ReMo",
  "functional": "PBEsol",
  "state": "optimized geometry",
  "cell": [[2.6044, 0.0000, 0.0089], [0.0000, 4.0393, 0.0000], [-1.1144, 0.0000, 4.9839]],
  "species": ["Mn", "Mo", "Re", "Mn"],
  "frac_coords": [[0.2588, 0.0000, 0.2533], [0.5000, 0.5000, 0.0000], [0.0000, 0.5000, 0.5000], [0.7412, 0.0000, 0.7467]],
  "dos_at_fermi_per_ev_cell": 3.839,
  "total_magnetization_mub_per_fu": 3.3
}

---

{
  "formula": "MnReMo2",
  "functional": "PBEsol",
  "state": "optimized geometry",
  "cell": [[-2.3798, -0.3742, 1.2783], [-0.9792, -2.5214, 0.3481], [3.0814, -1.5402, 8.1948]],
  "species": ["Mn", "Mo", "Mo", "Re"],
  "frac_coords": [[0.0000, 0.0000, 0.0000], [0.7451, 0.7451, 0.7647], [0.2549, 0.2549, 0.2353], [0.5000, 0.5000, 0.5000]],
  "dos_at_fermi_per_ev_cell": 4.148,
  "total_magnetization_mub_per_fu": 0.0,
  "relative_energy_kj_per_mol_atoms": 18.9
}

---

{
  "formula": "Mn2ReMo",
  "functional": "PBEsol",
  "state": "optimized geometry",
  "cell": [[-0.7573, -2.4531, 0.6768], [-0.7633, -1.7184, -1.8745], [7.5362, -4.0935, -1.1965]],
  "species": ["Re", "Mo", "Mn", "Mn"],
  "frac_coords": [[0.0000, 0.0000, 0.0000], [0.5000, 0.5000, 0.5000], [0.7484, 0.7484, 0.7549], [0.2516, 0.2516, 0.2451]],
  "dos_at_fermi_per_ev_cell": 5.269,
  "total_magnetization_mub_per_fu": 1.1
}

---

{
  "formula": "MnMo3Rh",
  "functional": "PBEsol",
  "state": "optimized geometry",
  "cell": [[4.3250, 0.0000, 0.0000], [0.0000, 4.3250, 0.0000], [0.0000, 0.0000, 4.3250]],
  "species": ["Mn", "Mo", "Mo", "Mo", "Rh"],
  "frac_coords": [[0.0000, 0.0000, 0.0000], [0.0000, 0.0000, 0.5000], [0.0000, 0.5000, 0.0000], [0.5000, 0.0000, 0.0000], [0.5000, 0.5000, 0.5000]],
  "dos_at_fermi_per_ev_cell": 4.084,
  "total_magnetization_mub_per_fu": 0.0
}

---

no.,final energy (eV per atom)
1,-11.03
2,-11.36
3,-10.96
4,-11.52
5,-11.02
6,-11.34
7,-10.87
8,-9.51